# Cs2In7Hg, optimized geometry, DFT GGA-PBE
# VASP energy   -22.32 eV per formula unit
# Formation enthalpy at 0 K   -0.114 eV per atom
# Fermi-level density of states   0.57 states/eV/atom
data_Cs2In7Hg
_chemical_formula_sum 'Cs2 In7 Hg1'
_cell_length_a 5.209
_cell_length_b 5.209
_cell_length_c 12.548
_cell_angle_alpha 90.00
_cell_angle_beta 90.00
_cell_angle_gamma 90.00
_space_group_name_H-M_alt 'P -4 m 2'
_space_group_IT_number 115
loop_
_space_group_symop_operation_xyz
'x,y,z'
'y,-x,-z'
'-x,-y,z'
'-y,x,-z'
'-x,y,z'
'-y,-x,-z'
'x,-y,z'
'y,x,-z'
loop_
_atom_site_label
_atom_site_type_symbol
_atom_site_fract_x
_atom_site_fract_y
_atom_site_fract_z
Cs1 Cs 0.000 0.500 0.248
In1 In 0.000 0.000 0.000
In2 In 0.000 0.000 0.500
In3 In 0.000 0.500 0.631
In4 In 0.000 0.500 0.874
In5 In 0.500 0.500 0.500
Hg1 Hg 0.500 0.500 0.000